The following is a DFT calculation (PBE-GGA) of a geometry-optimized TcSbTe structure.

Lattice parameters (Å, degrees): 7.362 7.362 3.210 77.41 77.41 25.19
Fractional positions:
1 Sb 0.957 0.957 0.043
2 Te 0.715 0.715 0.285
3 Tc 0.328 0.328 0.672

Computed properties:
crystal system = tetragonal
offset from the most stable computed form = 174 meV/atom
energy relative to the elements, uncorrected = -0.03 kcal/mol of atoms

The following is a DFT calculation (PBE-GGA) of a geometry-optimized MnCdOs2 structure.

Lattice parameters (Å, degrees): 4.059 3.883 3.883 90.00 90.00 90.00
Site moments in Bohr magnetons follow the coordinates.
Fractional positions:
1 Mn 0.500 0.000 0.500  3.21
2 Os 0.000 0.500 0.500  -0.36
3 Cd 0.500 0.500 0.000  0.00
4 Os 0.000 0.000 0.000  -0.36

Computed properties:
energy relative to the elements = 0.6062 eV per atom
crystal system = tetragonal

The following is a DFT calculation (PBE-GGA) of a geometry-optimized Ti5H2S5 structure.

Lattice parameters (Å, degrees): 3.281 5.819 9.426 107.38 90.00 106.37
Fractional positions:
1 Ti 0.087 0.174 0.364
2 S 0.336 0.671 0.955
3 S 0.246 0.493 0.631
4 Ti 0.913 0.826 0.636
5 Ti 0.674 0.348 0.788
6 Ti 0.000 0.000 0.000
7 S 0.500 0.000 0.500
8 S 0.754 0.507 0.369
9 H 0.062 0.123 0.805
10 S 0.664 0.329 0.045
11 H 0.938 0.877 0.195
12 Ti 0.326 0.652 0.212

Computed properties:
crystal system = monoclinic
E_tot = -78.142 eV/f.u.

Results for V: 24.053, 15.297, 13.672 (in Å³ per atom, following the order of the records).